w | Below is Li5TlIn after structural relaxation, with properties calculated at the GGA-PBE level.

Cell lengths 4.3773, 4.3773, 7.5731 Å; angles 90.00, 90.00, 90.00 degrees
Fractional positions:
Li 0.5000 0.0000 0.2382
Li 0.0000 0.5000 0.2382
Li 0.0000 0.0000 0.5000
Li 0.0000 0.5000 0.7618
Li 0.5000 0.0000 0.7618
Tl 0.5000 0.5000 0.5000
In 0.0000 0.0000 0.0000

Symmetry   P4/mmm (123)

x | Below is Li5TlIn after structural relaxation, with properties calculated at the GGA-PBE level.

Cell lengths 7.3258, 7.3258, 7.3258 Å; angles 37.42, 37.42, 37.42 degrees
Fractional positions:
Li 0.6465 0.6465 0.6465
Li 0.3516 0.3516 0.3516
Li 0.5016 0.5016 0.5016
Li 0.7879 0.7879 0.7879
Li 0.2118 0.2118 0.2118
Tl 0.0734 0.0734 0.0734
In 0.9272 0.9272 0.9272

Symmetry   R3m (160)

Verdict on stability: x comes out on top.

w | Below is LiTlIn4 after structural relaxation, with properties calculated at the GGA-PBE level.

Cell lengths 3.2865, 3.2860, 14.1189 Å; angles 90.03, 90.00, 90.00 degrees
Fractional positions:
Li 0.0000 0.0000 0.0000
Tl 0.5000 0.5000 0.5000
In 0.0000 0.9991 0.6917
In 0.5000 0.4999 0.8659
In 0.5000 0.5001 0.1341
In 0.0000 0.0009 0.3083

Symmetry   P4/mmm (123)

x | Below is LiTlIn4 after structural relaxation, with properties calculated at the GGA-PBE level.

Cell lengths 6.2085, 6.2085, 6.2085 Å; angles 60.00, 60.00, 60.00 degrees
Fractional positions:
Li 0.7500 0.7500 0.7500
Tl 0.0000 0.0000 0.0000
In 0.8743 0.3752 0.3752
In 0.3752 0.3752 0.8743
In 0.3752 0.8743 0.3752
In 0.3752 0.3752 0.3752

Symmetry   F-43m (216)

y | Below is LiTlIn4 after structural relaxation, with properties calculated at the GGA-PBE level.

Cell lengths 4.6579, 4.6577, 7.6850 Å; angles 89.97, 89.96, 90.00 degrees
Fractional positions:
Li 0.0012 0.9975 0.4983
Tl 0.5013 0.4973 0.9982
In 0.5014 0.9970 0.2843
In 0.5012 0.9973 0.7119
In 0.0015 0.4973 0.7119
In 0.0013 0.4973 0.2843

Symmetry   P4/mmm (123)

Verdict on stability: w comes out on top.

w | Below is Li6Tl2In3 after structural relaxation, with properties calculated at the GGA-PBE level.

Cell lengths 5.2759, 5.2759, 10.6739 Å; angles 104.31, 104.31, 90.00 degrees
Fractional positions:
Li 0.0835 0.5836 0.1671
Li 0.5835 0.0836 0.1671
Li 0.9165 0.4164 0.8329
Li 0.4165 0.9164 0.8329
Li 0.7108 0.7108 0.4216
Li 0.2892 0.2892 0.5784
Tl 0.4249 0.4249 0.8498
Tl 0.5751 0.5751 0.1502
In 0.0000 0.0000 0.0000
In 0.8504 0.8504 0.7008
In 0.1496 0.1496 0.2992

Symmetry   I4/mmm (139)

x | Below is Li6Tl2In3 after structural relaxation, with properties calculated at the GGA-PBE level.

Cell lengths 3.1566, 7.4479, 9.7070 Å; angles 93.66, 90.00, 90.00 degrees
Fractional positions:
Li 0.5000 0.4438 0.3653
Li 0.5000 0.5562 0.6347
Li 0.5000 0.0743 0.3000
Li 0.5000 0.9257 0.7000
Li 0.5000 0.6993 0.1643
Li 0.5000 0.3007 0.8357
Tl 0.0000 0.2163 0.5606
Tl 0.0000 0.7837 0.4394
In 0.0000 0.3582 0.1160
In 0.0000 0.6418 0.8840
In 0.5000 0.0000 0.0000

Symmetry   P2/m (10)

Verdict on stability: x comes out on top.

w | Below is Li3TlIn2 after structural relaxation, with properties calculated at the GGA-PBE level.

Cell lengths 3.4707, 4.7968, 14.4157 Å; angles 90.00, 90.00, 90.00 degrees
Fractional positions:
Li 0.4999 0.5000 0.6654
Li 0.4997 0.0000 0.5000
Li 0.4999 0.5000 0.3346
Li 0.5001 0.0000 0.1654
Li 0.5003 0.5000 0.0000
Li 0.5001 0.0000 0.8346
Tl 0.9997 0.5000 0.5000
Tl 0.0003 0.0000 0.0000
In 0.9999 0.0000 0.6712
In 0.9999 0.0000 0.3288
In 0.0001 0.5000 0.1712
In 0.0001 0.5000 0.8288

Symmetry   Cmmm (65)

x | Below is Li3TlIn2 after structural relaxation, with properties calculated at the GGA-PBE level.

Cell lengths 3.5036, 3.5036, 9.8165 Å; angles 90.00, 90.00, 90.00 degrees
Fractional positions:
Li 0.0000 0.0000 0.0000
Li 0.0000 0.0000 0.6713
Li 0.0000 0.0000 0.3287
Tl 0.5000 0.5000 0.5000
In 0.5000 0.5000 0.8381
In 0.5000 0.5000 0.1619

Symmetry   P4/mmm (123)

Verdict on stability: x comes out on top.

w | Below is LiTl6In after structural relaxation, with properties calculated at the GGA-PBE level.

Cell lengths 4.8539, 6.8363, 6.8363 Å; angles 91.26, 90.00, 90.00 degrees
Fractional positions:
Li 0.5000 0.0000 0.0000
Tl 0.0000 0.7432 0.2568
Tl 0.0000 0.2568 0.7432
Tl 0.0000 0.7690 0.7690
Tl 0.0000 0.2310 0.2310
Tl 0.5000 0.5000 0.0000
Tl 0.5000 0.0000 0.5000
In 0.5000 0.5000 0.5000

Symmetry   Cmmm (65)

x | Below is LiTl6In after structural relaxation, with properties calculated at the GGA-PBE level.

Cell lengths 5.8692, 5.8692, 7.5504 Å; angles 76.19, 76.19, 86.75 degrees
Fractional positions:
Li 0.0000 0.0000 0.0000
Tl 0.1002 0.6863 0.3054
Tl 0.6863 0.1002 0.3054
Tl 0.3137 0.8998 0.6946
Tl 0.8998 0.3137 0.6946
Tl 0.3172 0.3172 0.0033
Tl 0.6828 0.6828 0.9967
In 0.5000 0.5000 0.5000

Symmetry   C2/m (12)

Verdict on stability: w comes out on top.

w | Below is LiYTlIn after structural relaxation, with properties calculated at the GGA-PBE level.

Cell lengths 3.8834, 5.0405, 5.0308 Å; angles 90.00, 90.00, 90.00 degrees
Fractional positions:
Li 0.5000 0.0000 0.5000
Y 0.5000 0.5000 0.0000
Tl 0.0000 0.0000 0.0000
In 0.0000 0.5000 0.5000

Symmetry   Pmmm (47)

x | Below is LiYTlIn after structural relaxation, with properties calculated at the GGA-PBE level.

Cell lengths 5.1624, 5.1624, 5.1624 Å; angles 60.00, 60.00, 60.00 degrees
Fractional positions:
Y 0.2500 0.2500 0.2500
Tl 0.5000 0.5000 0.5000
Li 0.7500 0.7500 0.7500
In 0.0000 0.0000 0.0000

Symmetry   F-43m (216)

Verdict on stability: w comes out on top.